# CdHgSe2, relaxed, DFT PBE-GGA
# - E above lowest polymorph: 418 meV/atom
# - Crystal system: orthorhombic
# - E: -0.1504 Ry per atom
# - Uncorrected formation energy: 0.00 eV per atom
data_CdHgSe2
_chemical_formula_sum 'Cd4 Hg4 Se8'
_space_group_name_H-M_alt 'C m c m'
_space_group_IT_number 63
_space_group_name_Hall '-C 2c 2'
_cell_length_a 2.954
_cell_length_b 22.846
_cell_length_c 5.854
_cell_angle_alpha 90.00
_cell_angle_beta 90.00
_cell_angle_gamma 90.00
loop_
_atom_site_label
_atom_site_fract_x
_atom_site_fract_y
_atom_site_fract_z
Cd1 0.000 0.062 0.250
Hg1 0.000 0.310 0.250
Se1 0.000 0.057 0.750
Se2 0.000 0.181 0.250

# KLiF3, relaxed, DFT PBE-GGA
# - E above lowest polymorph: 51 meV/atom
# - Crystal system: triclinic
# - E: -0.2923 Ry per atom
# - Uncorrected formation energy: -2.25 eV per atom
data_KLiF3
_chemical_formula_sum 'K2 Li2 F6'
_space_group_name_H-M_alt 'P -1'
_space_group_IT_number 2
_cell_length_a 4.064
_cell_length_b 5.654
_cell_length_c 6.447
_cell_angle_alpha 94.21
_cell_angle_beta 95.48
_cell_angle_gamma 90.47
loop_
_space_group_symop_operation_xyz
'x,y,z'
'-x,-y,-z'
loop_
_atom_site_label
_atom_site_fract_x
_atom_site_fract_y
_atom_site_fract_z
K1 0.235 0.251 0.360
Li1 0.290 0.730 0.108
F1 0.000 0.000 0.000
F2 0.223 0.743 0.388
F3 0.297 0.479 0.882
F4 0.500 0.000 0.000

# CaBiO3, relaxed, DFT PBE-GGA
# - Crystal system: orthorhombic
# - E: -0.4398 Ry per atom
# - Uncorrected formation energy: -1.83 eV per atom
data_CaBiO3
_chemical_formula_sum 'Ca4 Bi4 O12'
_space_group_name_H-M_alt 'P n m a'
_space_group_IT_number 62
_cell_length_a 6.069
_cell_length_b 8.433
_cell_length_c 5.828
_cell_angle_alpha 90.00
_cell_angle_beta 90.00
_cell_angle_gamma 90.00
loop_
_space_group_symop_operation_xyz
'x,y,z'
'-x,-y,-z'
'-x+1/2,-y,z+1/2'
'x+1/2,y,-z+1/2'
'x+1/2,-y+1/2,-z+1/2'
'-x+1/2,y+1/2,z+1/2'
'-x,y+1/2,-z'
'x,-y+1/2,z'
loop_
_atom_site_label
_atom_site_fract_x
_atom_site_fract_y
_atom_site_fract_z
Ca1 0.056 0.250 0.016
Bi1 0.000 0.000 0.500
O1 0.065 0.750 0.368
O2 0.196 0.570 0.808

# NaMnCu2Cl6, relaxed, DFT PBE-GGA
# - Crystal system: monoclinic
# - E: -0.2877 Ry per atom
# - Uncorrected formation energy: -0.94 eV per atom
data_NaMnCu2Cl6
_chemical_formula_sum 'Na4 Mn4 Cu8 Cl24'
_space_group_name_H-M_alt 'C 1 2/c 1'
_space_group_IT_number 15
_cell_length_a 11.909
_cell_length_b 11.645
_cell_length_c 6.551
_cell_angle_alpha 90.00
_cell_angle_beta 99.54
_cell_angle_gamma 90.00
loop_
_space_group_symop_operation_xyz
'x,y,z'
'-x,-y,-z'
'-x,y,-z+1/2'
'x,-y,z+1/2'
'x+1/2,y+1/2,z'
'-x+1/2,-y+1/2,-z'
'-x+1/2,y+1/2,-z+1/2'
'x+1/2,-y+1/2,z+1/2'
loop_
_atom_site_label
_atom_site_fract_x
_atom_site_fract_y
_atom_site_fract_z
Na1 0.000 0.087 0.250
Mn1 0.000 0.266 0.750
Cu1 0.177 0.416 0.297
Cl1 0.112 0.265 0.085
Cl2 0.124 0.105 0.645
Cl3 0.132 0.413 0.627

# VAsSeBr2, relaxed, DFT PBE-GGA
# - E above lowest polymorph: 40 meV/atom
# - Crystal system: tetragonal
# - E: -0.2839 Ry per atom
# - Uncorrected formation energy: 0.26 eV per atom
data_VAsSeBr2
_chemical_formula_sum 'V1 As1 Se1 Br2'
_space_group_name_H-M_alt 'P 4/m m m'
_space_group_IT_number 123
_space_group_name_Hall '-P 4 2'
_cell_length_a 4.853
_cell_length_b 4.853
_cell_length_c 4.927
_cell_angle_alpha 90.00
_cell_angle_beta 90.00
_cell_angle_gamma 90.00
loop_
_atom_site_label
_atom_site_fract_x
_atom_site_fract_y
_atom_site_fract_z
V1 0.000 0.000 0.000
As1 0.500 0.500 0.500
Se1 0.000 0.000 0.500
Br1 0.000 0.500 0.000

# Pr2NiSn3Ir4, relaxed, DFT PBE-GGA
# - Crystal system: tetragonal
# - Energy of formation from the pure elements: -455 meV/atom
# - E: -0.4950 Ry per atom
data_Pr2NiSn3Ir4
_chemical_formula_sum 'Pr2 Ni1 Sn3 Ir4'
_space_group_name_H-M_alt 'P -4 m 2'
_space_group_IT_number 115
_cell_length_a 4.335
_cell_length_b 4.335
_cell_length_c 11.155
_cell_angle_alpha 90.00
_cell_angle_beta 90.00
_cell_angle_gamma 90.00
loop_
_space_group_symop_operation_xyz
'x,y,z'
'y,-x,-z'
'-x,-y,z'
'-y,x,-z'
'-x,y,z'
'-y,-x,-z'
'x,-y,z'
'y,x,-z'
loop_
_atom_site_label
_atom_site_fract_x
_atom_site_fract_y
_atom_site_fract_z
Pr1 0.000 0.500 0.242
Ni1 0.500 0.500 0.000
Sn1 0.000 0.000 0.000
Sn2 0.000 0.500 0.634
Ir1 0.000 0.000 0.500
Ir2 0.000 0.500 0.868
Ir3 0.500 0.500 0.500

# DyHo2Pb, relaxed, DFT PBE-GGA
# - E above lowest polymorph: 181 meV/atom
# - Crystal system: cubic
# - Energy of formation from the pure elements: -89 meV/atom
# - E: -0.3275 Ry per atom
data_DyHo2Pb
_chemical_formula_sum 'Dy4 Ho8 Pb4'
_space_group_name_H-M_alt 'F -4 3 m'
_space_group_IT_number 216
_space_group_name_Hall 'F -4 2 3'
_cell_length_a 7.722
_cell_length_b 7.722
_cell_length_c 7.722
_cell_angle_alpha 90.00
_cell_angle_beta 90.00
_cell_angle_gamma 90.00
loop_
_atom_site_label
_atom_site_fract_x
_atom_site_fract_y
_atom_site_fract_z
Dy1 0.000 0.000 0.000
Ho1 0.000 0.000 0.500
Ho2 0.250 0.250 0.250
Pb1 0.250 0.250 0.750

# Zr4GaRh, relaxed, DFT PBE-GGA
# - E above lowest polymorph: 0 meV/atom
# - Crystal system: tetragonal
# - Energy of formation from the pure elements: -507 meV/atom
# - E: -0.5832 Ry per atom
data_Zr4GaRh
_chemical_formula_sum 'Zr8 Ga2 Rh2'
_space_group_name_H-M_alt 'I 4 2 2'
_space_group_IT_number 97
_space_group_name_Hall 'I 4 2'
_cell_length_a 6.727
_cell_length_b 6.727
_cell_length_c 5.339
_cell_angle_alpha 90.00
_cell_angle_beta 90.00
_cell_angle_gamma 90.00
loop_
_atom_site_label
_atom_site_fract_x
_atom_site_fract_y
_atom_site_fract_z
Zr1 0.158 0.342 0.250
Ga1 0.000 0.000 0.500
Rh1 0.000 0.000 0.000

# Mg2AlOs, relaxed, DFT PBE-GGA
# - Crystal system: monoclinic
# - Energy of formation from the pure elements: 126 meV/atom
# - E: -0.3245 Ry per atom
data_Mg2AlOs
_chemical_formula_sum 'Mg4 Al2 Os2'
_space_group_name_H-M_alt 'C 1 2/m 1'
_space_group_IT_number 12
_cell_length_a 5.419
_cell_length_b 8.910
_cell_length_c 2.784
_cell_angle_alpha 90.00
_cell_angle_beta 103.23
_cell_angle_gamma 90.00
loop_
_space_group_symop_operation_xyz
'x,y,z'
'-x,-y,-z'
'-x,y,-z'
'x,-y,z'
'x+1/2,y+1/2,z'
'-x+1/2,-y+1/2,-z'
'-x+1/2,y+1/2,-z'
'x+1/2,-y+1/2,z'
loop_
_atom_site_label
_atom_site_fract_x
_atom_site_fract_y
_atom_site_fract_z
Mg1 0.250 0.250 0.000
Al1 0.000 0.000 0.500
Os1 0.000 0.500 0.500

# NbPdS, relaxed, DFT PBE-GGA
# - E above lowest polymorph: 14 meV/atom
# - Crystal system: tetragonal
# - E: -0.5154 Ry per atom
# - Uncorrected formation energy: -0.55 eV per atom
data_NbPdS
_chemical_formula_sum 'Nb1 Pd1 S1'
_space_group_name_H-M_alt 'P 4 m m'
_space_group_IT_number 99
_cell_length_a 3.025
_cell_length_b 3.025
_cell_length_c 5.721
_cell_angle_alpha 90.00
_cell_angle_beta 90.00
_cell_angle_gamma 90.00
loop_
_space_group_symop_operation_xyz
'x,y,z'
'-y,x,z'
'-x,-y,z'
'y,-x,z'
'-x,y,z'
'y,x,z'
'x,-y,z'
'-y,-x,z'
loop_
_atom_site_label
_atom_site_fract_x
_atom_site_fract_y
_atom_site_fract_z
Nb1 0.000 0.000 0.000
Pd1 0.500 0.500 0.674
S1 0.500 0.500 0.238

# Nd3Ga2Au9, relaxed, DFT PBE-GGA
# - Crystal system: orthorhombic
# - Energy of formation from the pure elements: -575 meV/atom
# - E: -0.3040 Ry per atom
data_Nd3Ga2Au9
_chemical_formula_sum 'Nd6 Ga4 Au18'
_space_group_name_H-M_alt 'I m m m'
_space_group_IT_number 71
_space_group_name_Hall '-I 2 2'
_cell_length_a 4.327
_cell_length_b 10.710
_cell_length_c 13.000
_cell_angle_alpha 90.00
_cell_angle_beta 90.00
_cell_angle_gamma 90.00
loop_
_atom_site_label
_atom_site_fract_x
_atom_site_fract_y
_atom_site_fract_z
Nd1 0.000 0.000 0.000
Nd2 0.000 0.000 0.300
Ga1 0.000 0.193 0.500
Au1 0.000 0.292 0.134
Au2 0.000 0.372 0.350
Au3 0.000 0.500 0.000

# SrTlCd2, relaxed, DFT PBE-GGA
# - Crystal system: orthorhombic
# - Energy of formation from the pure elements: -185 meV/atom
# - E: -0.1216 Ry per atom
data_SrTlCd2
_chemical_formula_sum 'Sr1 Tl1 Cd2'
_space_group_name_H-M_alt 'P m m m'
_space_group_IT_number 47
_cell_length_a 3.738
_cell_length_b 5.288
_cell_length_c 6.089
_cell_angle_alpha 90.00
_cell_angle_beta 90.00
_cell_angle_gamma 90.00
loop_
_space_group_symop_operation_xyz
'x,y,z'
'-x,-y,-z'
'-x,-y,z'
'x,y,-z'
'x,-y,-z'
'-x,y,z'
'-x,y,-z'
'x,-y,z'
loop_
_atom_site_label
_atom_site_fract_x
_atom_site_fract_y
_atom_site_fract_z
Sr1 0.000 0.000 0.000
Tl1 0.500 0.000 0.500
Cd1 0.500 0.500 0.246

# LiGaC, relaxed, DFT PBE-GGA
# - Crystal system: trigonal
# - Energy of formation from the pure elements: 111 meV/atom
# - E: -0.3389 Ry per atom
data_LiGaC
_chemical_formula_sum 'Li6 Ga6 C6'
_space_group_name_H-M_alt 'R -3 m'
_space_group_IT_number 166
_space_group_name_Hall '-R 3 2"'
_cell_length_a 4.2575
_cell_length_b 4.2575
_cell_length_c 17.5303
_cell_angle_alpha 90.00
_cell_angle_beta 90.00
_cell_angle_gamma 120.00
loop_
_atom_site_label
_atom_site_fract_x
_atom_site_fract_y
_atom_site_fract_z
Li1 0.0000 0.0000 0.0926
Ga1 0.0000 0.0000 0.3480
C1 0.0000 0.0000 0.4640

# U7Cd3O20, relaxed, DFT PBE-GGA
# - Crystal system: monoclinic
# - E: -0.6476 Ry per atom
# - Uncorrected formation energy: -2.78 eV per atom
data_U7Cd3O20
_chemical_formula_sum 'U14 Cd6 O40'
_space_group_name_H-M_alt 'C 1 2/m 1'
_space_group_IT_number 12
_cell_length_a 6.590
_cell_length_b 19.126
_cell_length_c 6.548
_cell_angle_alpha 90.00
_cell_angle_beta 109.68
_cell_angle_gamma 90.00
loop_
_space_group_symop_operation_xyz
'x,y,z'
'-x,-y,-z'
'-x,y,-z'
'x,-y,z'
'x+1/2,y+1/2,z'
'-x+1/2,-y+1/2,-z'
'-x+1/2,y+1/2,-z'
'x+1/2,-y+1/2,z'
loop_
_atom_site_label
_atom_site_fract_x
_atom_site_fract_y
_atom_site_fract_z
U1 0.000 0.000 0.000
U2 0.000 0.100 0.500
U3 0.000 0.301 0.500
U4 0.000 0.400 0.000
Cd1 0.000 0.203 0.000
Cd2 0.000 0.500 0.500
O1 0.102 0.000 0.362
O2 0.106 0.304 0.850
O3 0.128 0.099 0.872
O4 0.132 0.402 0.372
O5 0.137 0.198 0.404
O6 0.137 0.500 0.898

# SrZn2AgH, relaxed, DFT PBE-GGA
# - Crystal system: tetragonal
# - E: -0.1515 Ry per atom
data_SrZn2AgH
_chemical_formula_sum 'Sr1 Zn2 Ag1 H1'
_space_group_name_H-M_alt 'P 4/m m m'
_space_group_IT_number 123
_space_group_name_Hall '-P 4 2'
_cell_length_a 4.489
_cell_length_b 4.489
_cell_length_c 4.703
_cell_angle_alpha 90.00
_cell_angle_beta 90.00
_cell_angle_gamma 90.00
loop_
_atom_site_label
_atom_site_fract_x
_atom_site_fract_y
_atom_site_fract_z
Sr1 0.000 0.000 0.000
Zn1 0.000 0.500 0.500
Ag1 0.500 0.500 0.000
H1 0.000 0.000 0.500

# LaThTc, relaxed, DFT PBE-GGA
# - E above lowest polymorph: 108 meV/atom
# - Crystal system: cubic
# - Energy of formation from the pure elements: 91 meV/atom
# - E: -0.5498 Ry per atom
data_LaThTc
_chemical_formula_sum 'La4 Th4 Tc4'
_space_group_name_H-M_alt 'F -4 3 m'
_space_group_IT_number 216
_space_group_name_Hall 'F -4 2 3'
_cell_length_a 7.026
_cell_length_b 7.026
_cell_length_c 7.026
_cell_angle_alpha 90.00
_cell_angle_beta 90.00
_cell_angle_gamma 90.00
loop_
_atom_site_label
_atom_site_fract_x
_atom_site_fract_y
_atom_site_fract_z
La1 0.000 0.000 0.000
Th1 0.000 0.000 0.500
Tc1 0.250 0.250 0.250

# Zr3BeSn2, relaxed, DFT PBE-GGA
# - Crystal system: orthorhombic
# - Energy of formation from the pure elements: -429 meV/atom
# - E: -0.4894 Ry per atom
data_Zr3BeSn2
_chemical_formula_sum 'Zr12 Be4 Sn8'
_space_group_name_H-M_alt 'P n m a'
_space_group_IT_number 62
_cell_length_a 11.506
_cell_length_b 3.950
_cell_length_c 10.981
_cell_angle_alpha 90.00
_cell_angle_beta 90.00
_cell_angle_gamma 90.00
loop_
_space_group_symop_operation_xyz
'x,y,z'
'-x,-y,-z'
'-x+1/2,-y,z+1/2'
'x+1/2,y,-z+1/2'
'x+1/2,-y+1/2,-z+1/2'
'-x+1/2,y+1/2,z+1/2'
'-x,y+1/2,-z'
'x,-y+1/2,z'
loop_
_atom_site_label
_atom_site_fract_x
_atom_site_fract_y
_atom_site_fract_z
Zr1 0.051 0.250 0.116
Zr2 0.118 0.750 0.555
Zr3 0.229 0.250 0.775
Be1 0.125 0.250 0.369
Sn1 0.014 0.750 0.306
Sn2 0.194 0.750 0.988

# Ho5TlZn2, relaxed, DFT PBE-GGA
# - Crystal system: tetragonal
# - Energy of formation from the pure elements: -256 meV/atom
# - E: -0.2742 Ry per atom
data_Ho5TlZn2
_chemical_formula_sum 'Ho20 Tl4 Zn8'
_space_group_name_H-M_alt 'I 4/m c m'
_space_group_IT_number 140
_space_group_name_Hall '-I 4 2c'
_cell_length_a 7.499
_cell_length_b 7.499
_cell_length_c 14.997
_cell_angle_alpha 90.00
_cell_angle_beta 90.00
_cell_angle_gamma 90.00
loop_
_atom_site_label
_atom_site_fract_x
_atom_site_fract_y
_atom_site_fract_z
Ho1 0.000 0.000 0.000
Ho2 0.166 0.334 0.147
Tl1 0.000 0.000 0.250
Zn1 0.122 0.378 0.500

# AlWAu2, relaxed, DFT PBE-GGA
# - Crystal system: monoclinic
# - Energy of formation from the pure elements: 146 meV/atom
# - E: -0.4165 Ry per atom
data_AlWAu2
_chemical_formula_sum 'Al2 W2 Au4'
_space_group_name_H-M_alt 'C 1 m 1'
_space_group_IT_number 8
_cell_length_a 9.604
_cell_length_b 2.821
_cell_length_c 5.098
_cell_angle_alpha 90.00
_cell_angle_beta 104.40
_cell_angle_gamma 90.00
loop_
_space_group_symop_operation_xyz
'x,y,z'
'x,-y,z'
'x+1/2,y+1/2,z'
'x+1/2,-y+1/2,z'
loop_
_atom_site_label
_atom_site_fract_x
_atom_site_fract_y
_atom_site_fract_z
Al1 0.000 0.000 0.000
W1 0.262 0.000 0.775
Au1 0.230 0.500 0.256
Au2 0.499 0.000 0.522

# InTcP, relaxed, DFT PBE-GGA
# - E above lowest polymorph: 52 meV/atom
# - Crystal system: trigonal
# - Energy of formation from the pure elements: -136 meV/atom
# - E: -0.4636 Ry per atom
data_InTcP
_chemical_formula_sum 'In1 Tc1 P1'
_space_group_name_H-M_alt 'P 3 m 1'
_space_group_IT_number 156
_cell_length_a 3.1339
_cell_length_b 3.1339
_cell_length_c 6.1793
_cell_angle_alpha 90.00
_cell_angle_beta 90.00
_cell_angle_gamma 120.00
loop_
_space_group_symop_operation_xyz
'x,y,z'
'-y,x-y,z'
'-x+y,-x,z'
'-y,-x,z'
'-x+y,y,z'
'x,x-y,z'
loop_
_atom_site_label
_atom_site_fract_x
_atom_site_fract_y
_atom_site_fract_z
In1 0.0000 0.0000 0.0000
Tc1 0.3333 0.6667 0.6361
P1 0.6667 0.3333 0.3947